(1)
The following is a DFT calculation (PBE) of a relaxed structure of YNiP2.

Results
- formation enthalpy at 0 K (meV per atom) = -309.9

Cell lengths 4.5568, 4.5568, 4.5568 Å; angles 60.00, 60.00, 60.00 degrees
Closest atoms and distances in Å follow each position.
Sites, in units of the cell vectors:
1 Y 0.0000 0.0000 0.0000  8 P 2.79
2 Ni 0.5000 0.5000 0.5000  8 P 2.79
3 P 0.2500 0.2500 0.2500  4 Ni 2.79, 4 Y 2.79
4 P 0.7500 0.7500 0.7500  4 Ni 2.79, 4 Y 2.79

(2)
The following is a DFT calculation (PBE) of a relaxed structure of Y2NiP.

Results
- formation enthalpy at 0 K (meV per atom) = 66.2

Cell lengths 4.7920, 4.7920, 4.7920 Å; angles 60.00, 60.00, 60.00 degrees
Closest atoms and distances in Å follow each position.
Sites, in units of the cell vectors:
1 Y 0.0000 0.0000 0.0000  4 Ni 2.93, 4 Y 2.93
2 Y 0.2500 0.2500 0.2500  4 P 2.93, 4 Y 2.93
3 Ni 0.7500 0.7500 0.7500  4 Y 2.93, 4 P 2.93
4 P 0.5000 0.5000 0.5000  4 Ni 2.93, 4 Y 2.93

(3)
The following is a DFT calculation (PBE) of a relaxed structure of YNi5P3.

Results
- formation enthalpy at 0 K (meV per atom) = -771.0
- polymorph energy (0 for the lowest one) (eV per atom) = 0.0214

Cell lengths 6.0872, 6.0872, 11.4383 Å; angles 90.00, 90.00, 145.96 degrees
Closest atoms and distances in Å follow each position.
Sites, in units of the cell vectors:
1 Y 0.1579 0.8421 0.7500  7 P 3.00-3.22, 8 Ni 3.16-3.24
2 Y 0.8421 0.1579 0.2500  7 P 3.00-3.22, 8 Ni 3.16-3.24
3 Ni 0.0000 0.0000 0.0000  4 P 2.30, 6 Ni 2.48-2.51
4 Ni 0.0000 0.0000 0.5000  4 P 2.30, 6 Ni 2.48-2.51
5 Ni 0.2010 0.7990 0.0728  2 P 2.14-2.24
6 Ni 0.2010 0.7990 0.4272  2 P 2.14-2.24
7 Ni 0.4496 0.5504 0.6454  4 P 2.28-2.29, 3 Ni 2.39-2.51
8 Ni 0.4496 0.5504 0.8546  4 P 2.28-2.29, 3 Ni 2.39-2.51
9 Ni 0.5504 0.4496 0.1454  4 P 2.28-2.29, 3 Ni 2.39-2.51
10 Ni 0.5504 0.4496 0.3546  4 P 2.28-2.29, 3 Ni 2.39-2.51
11 Ni 0.7990 0.2010 0.5728  2 P 2.14-2.24
12 Ni 0.7990 0.2010 0.9272  2 P 2.14-2.24
13 P 0.1186 0.8814 0.2500  6 Ni 2.24-2.29
14 P 0.3824 0.6176 0.0428  5 Ni 2.14-2.30
15 P 0.3824 0.6176 0.4572  5 Ni 2.14-2.30
16 P 0.6176 0.3824 0.5428  5 Ni 2.14-2.30
17 P 0.6176 0.3824 0.9572  5 Ni 2.14-2.30
18 P 0.8814 0.1186 0.7500  6 Ni 2.24-2.29

(4)
The following is a DFT calculation (PBE) of a relaxed structure of YNi5P3.

Results
- formation enthalpy at 0 K (meV per atom) = -792.4
- polymorph energy (0 for the lowest one) (eV per atom) = 0.0000

Cell lengths 18.0992, 3.7321, 6.7522 Å; angles 90.00, 90.00, 90.00 degrees
Closest atoms and distances in Å follow each position.
Sites, in units of the cell vectors:
1 Y 0.1417 0.2500 0.1200  6 P 2.85-2.88, 10 Ni 2.96-3.15
2 Y 0.3583 0.7500 0.6200  6 P 2.85-2.88, 10 Ni 2.96-3.15
3 Y 0.6417 0.2500 0.3800  6 P 2.85-2.88, 10 Ni 2.96-3.15
4 Y 0.8583 0.7500 0.8800  6 P 2.85-2.88, 10 Ni 2.96-3.15
5 Ni 0.0042 0.7500 0.1283  4 P 2.25-2.36
6 Ni 0.0098 0.2500 0.3795  4 P 2.21-2.29
7 Ni 0.1131 0.2500 0.6353  3 P 2.24-2.48
8 Ni 0.2006 0.7500 0.8170  4 P 2.28-2.37
9 Ni 0.2046 0.7500 0.4291  4 P 2.22-2.36
10 Ni 0.2954 0.2500 0.9291  4 P 2.22-2.36
11 Ni 0.2994 0.2500 0.3170  4 P 2.28-2.37
12 Ni 0.3869 0.7500 0.1353  3 P 2.24-2.48
13 Ni 0.4902 0.7500 0.8795  4 P 2.21-2.29
14 Ni 0.4958 0.2500 0.6283  4 P 2.25-2.36
15 Ni 0.5042 0.7500 0.3717  4 P 2.25-2.36
16 Ni 0.5098 0.2500 0.1205  4 P 2.21-2.29
17 Ni 0.6131 0.2500 0.8647  3 P 2.24-2.48
18 Ni 0.7006 0.7500 0.6830  4 P 2.28-2.37
19 Ni 0.7046 0.7500 0.0709  4 P 2.22-2.36
20 Ni 0.7954 0.2500 0.5709  4 P 2.22-2.36
21 Ni 0.7994 0.2500 0.1830  4 P 2.28-2.37
22 Ni 0.8869 0.7500 0.3647  3 P 2.24-2.48
23 Ni 0.9902 0.7500 0.6205  4 P 2.21-2.29
24 Ni 0.9958 0.2500 0.8717  4 P 2.25-2.36
25 P 0.0755 0.7500 0.8549  5 Ni 2.21-2.36
26 P 0.0827 0.7500 0.3969  5 Ni 2.22-2.30
27 P 0.2369 0.2500 0.6236  7 Ni 2.24-2.37
28 P 0.2631 0.7500 0.1236  7 Ni 2.24-2.37
29 P 0.4173 0.2500 0.8969  5 Ni 2.22-2.30
30 P 0.4245 0.2500 0.3549  5 Ni 2.21-2.36
31 P 0.5755 0.7500 0.6451  5 Ni 2.21-2.36
32 P 0.5827 0.7500 0.1031  5 Ni 2.22-2.30
33 P 0.7369 0.2500 0.8764  7 Ni 2.24-2.37
34 P 0.7631 0.7500 0.3764  7 Ni 2.24-2.37
35 P 0.9173 0.2500 0.6031  5 Ni 2.22-2.30
36 P 0.9245 0.2500 0.1451  5 Ni 2.21-2.36

(5)
The following is a DFT calculation (PBE) of a relaxed structure of YNiP.

Results
- formation enthalpy at 0 K (meV per atom) = -525.5

Cell lengths 4.7042, 4.7042, 4.7042 Å; angles 132.12, 132.12, 70.04 degrees
Closest atoms and distances in Å follow each position.
Sites, in units of the cell vectors:
1 Y 0.0000 0.0000 0.0000  5 P 2.72-2.93, 5 Ni 2.80-2.90
2 Ni 0.6366 0.6366 0.0000  1 P 2.19
3 P 0.3524 0.3524 0.0000  1 Ni 2.19

(6)
The following is a DFT calculation (PBE) of a relaxed structure of Y3Ni6P5.

Results
- formation enthalpy at 0 K (meV per atom) = -995.3

Cell lengths 3.7720, 11.5692, 9.3896 Å; angles 90.00, 90.00, 90.00 degrees
Closest atoms and distances in Å follow each position.
Sites, in units of the cell vectors:
1 Y 0.2500 0.0906 0.2495  6 P 2.90-2.92, 7 Ni 2.90-3.08
2 Y 0.2500 0.4094 0.2495  6 P 2.90-2.92, 7 Ni 2.90-3.08
3 Y 0.2500 0.7500 0.2527  6 P 2.88-2.90, 10 Ni 2.94-3.15
4 Y 0.7500 0.2500 0.7473  6 P 2.88-2.90, 10 Ni 2.94-3.15
5 Y 0.7500 0.5906 0.7505  6 P 2.90-2.92, 7 Ni 2.90-3.08
6 Y 0.7500 0.9094 0.7505  6 P 2.90-2.92, 7 Ni 2.90-3.08
7 Ni 0.2500 0.0634 0.6086  4 P 2.31-2.32, 1 Ni 2.44
8 Ni 0.2500 0.2500 0.4880  4 P 2.40, 2 Ni 2.44
9 Ni 0.2500 0.2500 0.9870  4 P 2.26-2.33
10 Ni 0.2500 0.4366 0.6086  4 P 2.31-2.32, 1 Ni 2.44
11 Ni 0.2500 0.5789 0.0071  4 P 2.29-2.33
12 Ni 0.2500 0.9211 0.0071  4 P 2.29-2.33
13 Ni 0.7500 0.0789 0.9929  4 P 2.29-2.33
14 Ni 0.7500 0.4211 0.9929  4 P 2.29-2.33
15 Ni 0.7500 0.5634 0.3914  4 P 2.31-2.32, 1 Ni 2.44
16 Ni 0.7500 0.7500 0.0130  4 P 2.26-2.33
17 Ni 0.7500 0.7500 0.5120  4 P 2.40, 2 Ni 2.44
18 Ni 0.7500 0.9366 0.3914  4 P 2.31-2.32, 1 Ni 2.44
19 P 0.2500 0.0800 0.8540  5 Ni 2.29-2.33
20 P 0.2500 0.4200 0.8540  5 Ni 2.29-2.33
21 P 0.2500 0.6222 0.5159  5 Ni 2.32-2.40
22 P 0.2500 0.7500 0.8804  4 Ni 2.26-2.31
23 P 0.2500 0.8778 0.5159  5 Ni 2.32-2.40
24 P 0.7500 0.1222 0.4841  5 Ni 2.32-2.40
25 P 0.7500 0.2500 0.1196  4 Ni 2.26-2.31
26 P 0.7500 0.3778 0.4841  5 Ni 2.32-2.40
27 P 0.7500 0.5800 0.1460  5 Ni 2.29-2.33
28 P 0.7500 0.9200 0.1460  5 Ni 2.29-2.33

(7)
The following is a DFT calculation (PBE) of a relaxed structure of YNiP.

Results
- formation enthalpy at 0 K (meV per atom) = -932.3

Cell lengths 3.9663, 3.9663, 4.7719 Å; angles 118.16, 118.16, 60.82 degrees
Closest atoms and distances in Å follow each position.
Sites, in units of the cell vectors:
1 Y 0.0000 0.0000 0.0000  4 Ni 2.58-2.71, 1 P 2.86
2 Ni 0.8022 0.8022 0.3592  3 P 2.32-2.36, 1 Y 2.58
3 P 0.4975 0.4975 0.4526  3 Ni 2.32-2.36

(8)
The following is a DFT calculation (PBE) of a relaxed structure of YNi4P.

Results
- formation enthalpy at 0 K (meV per atom) = -220.7

Cell lengths 4.8767, 4.8767, 4.8767 Å; angles 60.00, 60.00, 60.00 degrees
Closest atoms and distances in Å follow each position.
Sites, in units of the cell vectors:
1 Y 0.0000 0.0000 0.0000  12 Ni 2.86, 4 P 2.99
2 Ni 0.1262 0.6246 0.6246  6 Ni 2.43-2.45
3 Ni 0.6246 0.1262 0.6246  6 Ni 2.43-2.45
4 Ni 0.6246 0.6246 0.1262  6 Ni 2.43-2.45
5 Ni 0.6246 0.6246 0.6246  6 Ni 2.43-2.45
6 P 0.2500 0.2500 0.2500  12 Ni 2.86, 4 Y 2.99

(9)
The following is a DFT calculation (PBE) of a relaxed structure of YNiP2.

Results
- formation enthalpy at 0 K (meV per atom) = -963.9

Cell lengths 9.8365, 3.7536, 9.8325 Å; angles 79.06, 22.00, 78.94 degrees
Closest atoms and distances in Å follow each position.
Sites, in units of the cell vectors:
1 Y 0.1181 0.8819 0.1181  8 P 2.91-2.94, 4 Ni 3.12-3.13
2 Y 0.8819 0.1181 0.8819  8 P 2.91-2.94, 4 Ni 3.12-3.13
3 Ni 0.2515 0.2515 0.2485  4 P 2.27
4 Ni 0.7515 0.7515 0.7485  4 P 2.27
5 P 0.0668 0.4968 0.9332  1 P 2.28
6 P 0.3187 0.6833 0.3167  4 Ni 2.27
7 P 0.4968 0.0668 0.5032  1 P 2.28
8 P 0.6833 0.3187 0.6813  4 Ni 2.27

(10)
The following is a DFT calculation (PBE) of a relaxed structure of YNiP.

Results
- formation enthalpy at 0 K (meV per atom) = -1221.2

Cell lengths 3.8953, 3.8953, 15.6017 Å; angles 90.00, 90.00, 120.00 degrees
Closest atoms and distances in Å follow each position.
Sites, in units of the cell vectors:
1 Y 0.0000 0.0000 0.0000  6 P 2.96, 6 Ni 3.01
2 Y 0.0000 0.0000 0.2500  6 Ni 2.95, 6 P 2.99
3 Y 0.0000 0.0000 0.5000  6 P 2.96, 6 Ni 3.01
4 Y 0.0000 0.0000 0.7500  6 Ni 2.95, 6 P 2.99
5 Ni 0.3333 0.6667 0.1279  3 P 2.25
6 Ni 0.3333 0.6667 0.3721  3 P 2.25
7 Ni 0.6667 0.3333 0.6279  3 P 2.25
8 Ni 0.6667 0.3333 0.8721  3 P 2.25
9 P 0.3333 0.6667 0.6233  3 Ni 2.25
10 P 0.3333 0.6667 0.8767  3 Ni 2.25
11 P 0.6667 0.3333 0.1233  3 Ni 2.25
12 P 0.6667 0.3333 0.3767  3 Ni 2.25

(11)
The following is a DFT calculation (PBE) of a relaxed structure of YNiP2.

Results
- formation enthalpy at 0 K (meV per atom) = -461.0

Cell lengths 3.5562, 3.5562, 5.6339 Å; angles 90.00, 90.00, 90.00 degrees
Closest atoms and distances in Å follow each position.
Sites, in units of the cell vectors:
1 Y 0.0000 0.0000 0.0000  6 P 2.72-2.87
2 Ni 0.5000 0.5000 0.4211  1 P 2.23
3 P 0.0000 0.0000 0.4898  4 Ni 2.54, 1 Y 2.76
4 P 0.5000 0.5000 0.8176  1 Ni 2.23

(12)
The following is a DFT calculation (PBE) of a relaxed structure of Y2Ni12P7.

Results
- formation enthalpy at 0 K (meV per atom) = -767.8
- polymorph energy (0 for the lowest one) (eV per atom) = 0.0000

Cell lengths 9.0452, 9.0452, 3.6984 Å; angles 90.00, 90.00, 120.00 degrees
Closest atoms and distances in Å follow each position.
Sites, in units of the cell vectors:
1 Y 0.0000 0.0000 0.0000  6 P 2.89, 12 Ni 3.02-3.21
2 Y 0.3333 0.6667 0.5000  6 P 2.87, 9 Ni 2.96-3.11
3 Ni 0.0480 0.7634 0.5000  4 P 2.27-2.35
4 Ni 0.0999 0.3940 0.0000  4 P 2.25-2.33, 1 Ni 2.49
5 Ni 0.2366 0.2845 0.5000  4 P 2.27-2.35
6 Ni 0.2941 0.9001 0.0000  4 P 2.25-2.33, 1 Ni 2.49
7 Ni 0.3923 0.2110 0.0000  4 P 2.15-2.32
8 Ni 0.5464 0.1206 0.5000  3 P 2.29-2.49
9 Ni 0.5742 0.4536 0.5000  3 P 2.29-2.49
10 Ni 0.6060 0.7059 0.0000  4 P 2.25-2.33, 1 Ni 2.49
11 Ni 0.7155 0.9520 0.5000  4 P 2.27-2.35
12 Ni 0.7890 0.1813 0.0000  4 P 2.15-2.32
13 Ni 0.8187 0.6077 0.0000  4 P 2.15-2.32
14 Ni 0.8794 0.4258 0.5000  3 P 2.29-2.49
15 P 0.0739 0.6284 0.0000  5 Ni 2.22-2.29
16 P 0.2625 0.0386 0.5000  7 Ni 2.27-2.35
17 P 0.3716 0.4455 0.0000  5 Ni 2.22-2.29
18 P 0.5545 0.9261 0.0000  5 Ni 2.22-2.29
19 P 0.6667 0.3333 0.0000  3 Ni 2.15
20 P 0.7761 0.7375 0.5000  7 Ni 2.27-2.35
21 P 0.9614 0.2239 0.5000  7 Ni 2.27-2.35

no.,total energy (eV per atom)
1,-6.076
2,-5.964
3,-6.504
4,-6.526
5,-6.411
6,-6.790
7,-6.817
8,-6.054
9,-6.730
10,-7.106
11,-6.227
12,-6.490